# HgBi2Pd7 (GGA-PBE, optimized geometry)
# crystal system = tetragonal
# energy above the lowest structure with this stoichiometry = 0.000 eV per atom
data_HgBi2Pd7
_chemical_formula_sum 'Hg2 Bi4 Pd14'
_symmetry_space_group_name_H-M 'I 4/m m m'
_symmetry_Int_Tables_number 139
_symmetry_space_group_name_Hall '-I 4 2'
_cell_length_a 4.0461
_cell_length_b 4.0461
_cell_length_c 23.7145
_cell_angle_alpha 90.00
_cell_angle_beta 90.00
_cell_angle_gamma 90.00
loop_
_atom_site_label
_atom_site_type_symbol
_atom_site_fract_x
_atom_site_fract_y
_atom_site_fract_z
Hg1 Hg 0.0000 0.0000 0.0000
Bi1 Bi 0.0000 0.0000 0.3331
Pd1 Pd 0.0000 0.0000 0.5000
Pd2 Pd 0.0000 0.5000 0.0869
Pd3 Pd 0.0000 0.5000 0.2500